[1]
# TlTe2ICl, relaxed, DFT GGA-PBE
# - E above lowest polymorph (eV per atom) = 0.0000
# - formation energy without anion corrections (meV per atom) = 227
data_TlTe2ICl
_chemical_formula_sum 'Tl1 Te2 I1 Cl1'
_symmetry_space_group_name_H-M 'P 4/m m m'
_symmetry_Int_Tables_number 123
_symmetry_space_group_name_Hall '-P 4 2'
_cell_length_a 5.2953
_cell_length_b 5.2953
_cell_length_c 7.5514
_cell_angle_alpha 90.00
_cell_angle_beta 90.00
_cell_angle_gamma 90.00
loop_
_atom_site_label
_atom_site_fract_x
_atom_site_fract_y
_atom_site_fract_z
Tl1 0.0000 0.0000 0.0000
Te1 0.0000 0.5000 0.5000
I1 0.5000 0.5000 0.0000
Cl1 0.5000 0.5000 0.5000

[2]
# PrDyTl4, relaxed, DFT GGA-PBE
# - formation energy (kJ per mole of atoms) = -24.1
data_PrDyTl4
_chemical_formula_sum 'Pr1 Dy1 Tl4'
_symmetry_space_group_name_H-M 'P 1 m 1'
_symmetry_Int_Tables_number 6
_symmetry_space_group_name_Hall 'P -2y'
_cell_length_a 3.8694
_cell_length_b 5.0917
_cell_length_c 8.7644
_cell_angle_alpha 90.00
_cell_angle_beta 90.06
_cell_angle_gamma 90.00
loop_
_atom_site_label
_atom_site_fract_x
_atom_site_fract_y
_atom_site_fract_z
Pr1 0.0000 0.0000 0.0000
Dy1 0.0009 0.5000 0.4992
Tl1 0.3506 0.0000 0.6617
Tl2 0.3772 0.5000 0.1710
Tl3 0.6252 0.5000 0.8276
Tl4 0.6485 0.0000 0.3383

[3]
# LaMgTl5, relaxed, DFT GGA-PBE
# - formation energy (kJ per mole of atoms) = -17.7
data_LaMgTl5
_chemical_formula_sum 'La1 Mg1 Tl5'
_symmetry_space_group_name_H-M 'P 4/m m m'
_symmetry_Int_Tables_number 123
_symmetry_space_group_name_Hall '-P 4 2'
_cell_length_a 5.1458
_cell_length_b 5.1458
_cell_length_c 7.7494
_cell_angle_alpha 90.00
_cell_angle_beta 90.00
_cell_angle_gamma 90.00
loop_
_atom_site_label
_atom_site_fract_x
_atom_site_fract_y
_atom_site_fract_z
La1 0.0000 0.0000 0.0000
Mg1 0.0000 0.0000 0.5000
Tl1 0.0000 0.5000 0.2899
Tl2 0.5000 0.5000 0.0000

- Number 2 is which compound?
  PrDyTl4